{"formula": "Pr6Y2Tm5", "functional": "GGA-PBE", "state": "relaxed", "cell": [[-0.496, -2.580, 2.508], [11.604, -0.425, 1.860], [-1.799, 14.478, 14.535]], "species": ["Tm", "Tm", "Tm", "Tm", "Tm", "Tm", "Tm", "Tm", "Tm", "Tm", "Pr", "Pr", "Pr", "Pr", "Pr", "Pr", "Pr", "Pr", "Pr", "Pr", "Pr", "Pr", "Y", "Y", "Y", "Y"], "fractional_positions": [[0.500, 0.596, 0.274], [0.500, 0.500, 0.000], [0.500, 0.300, 0.444], [0.500, 0.700, 0.556], [0.500, 0.200, 0.944], [0.500, 0.904, 0.774], [0.500, 0.000, 0.500], [0.500, 0.800, 0.056], [0.500, 0.096, 0.226], [0.500, 0.404, 0.726], [0.000, 0.083, 0.366], [0.000, 0.417, 0.866], [0.500, 0.674, 0.868], [0.000, 0.942, 0.920], [0.000, 0.917, 0.634], [0.000, 0.442, 0.580], [0.500, 0.326, 0.132], [0.000, 0.583, 0.134], [0.500, 0.174, 0.632], [0.000, 0.558, 0.420], [0.000, 0.058, 0.080], [0.500, 0.826, 0.368], [0.000, 0.837, 0.211], [0.000, 0.163, 0.789], [0.000, 0.337, 0.289], [0.000, 0.663, 0.711]], "final_energy_ev_per_atom": -4.815, "delta_e_f_mev_per_atom": 105}